VASP calculation (PBE+U) on a relaxed structure of HoHfFe2O6.

Output
M_tot = 9.0 μB per formula unit
Fermi-level density of states = 0.00 states/eV/f.u.
SG = P1
VASP energy = -8.129 eV per atom

Structure (POSCAR):
```
HoHfFe2O6
1.0
5.4316 0.0000 0.0000
2.7138 4.7180 0.0000
0.0275 3.1016 4.7750
Ho Hf Fe O
1 1 2 6
direct
0.0000 0.0000 0.0000 Ho
0.4976 0.0043 0.4906 Hf
0.2885 0.4233 0.8650 Fe
0.7827 0.4347 0.3511 Fe
0.1005 0.4897 0.1830 O
0.2140 0.8832 0.6778 O
0.4052 0.9313 0.1742 O
0.5652 0.2288 0.6715 O
0.6651 0.2326 0.1777 O
0.8998 0.5375 0.6758 O
```